# 1
Density functional theory data (GGA-PBE) for crystalline Rb3Np3CuSe8 at its relaxed geometry.

Fermi-level density of states: 2.052 states/eV per atom
Energy relative to the elements, uncorrected: -23.5 kcal/mol of atoms

Cell lengths 8.0954, 8.4058, 9.5522 Å; angles 117.91, 90.00, 118.79 degrees
Closest atoms and distances in Å follow each position.
Positions (direct):
Cu (0.0000, 0.0000, 0.5000)  4 Se 2.63
Rb (0.0000, 0.0000, 0.0000)  6 Se 3.43-3.51
Rb (0.0000, 0.5000, 0.0000)  6 Se 3.42-3.53
Rb (0.5000, 0.5000, 0.0000)  6 Se 3.42-3.53
Se (0.2683, 0.5367, 0.3027)  3 Np 2.87-2.89
Se (0.7317, 0.4633, 0.6973)  3 Np 2.87-2.89
Se (0.7462, 0.9568, 0.6731)  1 Cu 2.63, 2 Np 2.85
Se (0.7894, 0.0432, 0.3269)  1 Cu 2.63, 2 Np 2.85
Se (0.2538, 0.0432, 0.3269)  1 Cu 2.63, 2 Np 2.85
Se (0.2638, 0.5275, 0.7113)  2 Np 2.79
Se (0.2106, 0.9568, 0.6731)  1 Cu 2.63, 2 Np 2.85
Se (0.7362, 0.4725, 0.2887)  2 Np 2.79
Np (0.5000, 0.5000, 0.5000)  6 Se 2.79-2.87
Np (0.5000, 0.0000, 0.5000)  6 Se 2.85-2.89
Np (0.0000, 0.5000, 0.5000)  6 Se 2.79-2.87



# 2
Density functional theory data (GGA-PBE) for crystalline Pm5NdPb6 at its relaxed geometry.

Fermi-level density of states: 1.025 states/eV per atom
DFT formation energy: -0.506 eV per atom

Cell lengths 10.4998, 5.0672, 8.0668 Å; angles 71.69, 81.30, 61.19 degrees
Closest atoms and distances in Å follow each position.
Positions (direct):
Pb (0.2505, 0.9166, 0.6660)  7 Pm 3.42-3.44, 1 Nd 3.44, 4 Pb 3.59-3.60
Pb (0.7495, 0.4174, 0.6660)  7 Pm 3.42-3.44, 1 Nd 3.44, 4 Pb 3.59-3.60
Pb (0.2507, 0.2495, 0.0000)  6 Pm 3.42-3.44, 2 Nd 3.43, 4 Pb 3.60
Pb (0.2505, 0.5826, 0.3340)  7 Pm 3.42-3.44, 1 Nd 3.44, 4 Pb 3.59-3.60
Pb (0.7495, 0.0834, 0.3340)  7 Pm 3.42-3.44, 1 Nd 3.44, 4 Pb 3.59-3.60
Pb (0.7493, 0.7505, 0.0000)  6 Pm 3.42-3.44, 2 Nd 3.43, 4 Pb 3.60
Pm (0.5000, 0.8333, 0.3334)  8 Pb 3.42-3.43, 4 Pm 3.60
Pm (0.5000, 0.5000, 0.0000)  8 Pb 3.42-3.44, 4 Pm 3.60
Pm (0.5000, 0.1667, 0.6666)  8 Pb 3.42-3.43, 4 Pm 3.60
Pm (0.0000, 0.6670, 0.6661)  8 Pb 3.42-3.44, 2 Pm 3.59, 2 Nd 3.60
Pm (0.0000, 0.3330, 0.3339)  8 Pb 3.42-3.44, 2 Pm 3.59, 2 Nd 3.60
Nd (0.0000, 0.0000, 0.0000)  8 Pb 3.43-3.44, 4 Pm 3.60



# 3
Density functional theory data (GGA-PBE) for crystalline La3IrPb at its relaxed geometry.

ΔE to the lowest computed polymorph: 4.6 kJ/mol of atoms
Fermi-level density of states: 0.756 states/eV per atom
DFT formation energy: -0.639 eV per atom

Cell lengths 7.9760, 5.7612, 7.9813 Å; angles 90.00, 59.98, 90.00 degrees
Closest atoms and distances in Å follow each position.
Positions (direct):
La (0.4333, 0.0891, 0.0687)  2 Ir 2.88
La (0.7878, 0.5891, 0.8292)  2 Ir 2.88
La (0.5580, 0.0891, 0.5378)  2 Ir 2.88
La (0.3185, 0.5891, 0.4231)  2 Ir 2.88
La (0.9125, 0.5891, 0.2982)  2 Ir 2.88
La (0.0273, 0.0890, 0.9438)  2 Ir 2.88
Pb (0.3397, 0.5891, 0.8499)  9 La 3.49-3.63
Pb (0.0061, 0.0891, 0.5170)  9 La 3.49-3.63
Ir (0.6729, 0.3390, 0.1835)  2 Ir 2.88, 6 La 2.88
Ir (0.6729, 0.8391, 0.1835)  2 Ir 2.88, 6 La 2.88



# 4
Density functional theory data (GGA-PBE) for crystalline Si2TeSe at its relaxed geometry.

ΔE to the lowest computed polymorph: 46.7 kJ/mol of atoms
Fermi-level density of states: 0.406 states/eV per atom
Energy relative to the elements, uncorrected: 9.6 kcal/mol of atoms

Cell lengths 6.2647, 6.2647, 6.2647 Å; angles 149.29, 131.17, 58.80 degrees
Closest atoms and distances in Å follow each position.
Positions (direct):
Se (0.1801, 0.6801, 0.5000)  2 Si 2.40
Si (0.0213, 0.0213, 0.0000)  2 Se 2.40, 2 Si 2.61
Si (0.8371, 0.3371, 0.5000)  2 Si 2.61
Te (0.4615, 0.4615, 0.0000)  6 Si 2.92-3.14



# 5
Density functional theory data (GGA-PBE) for crystalline GdMgAs2 at its relaxed geometry.

ΔE to the lowest computed polymorph: 8.9 kJ/mol of atoms
Fermi-level density of states: 0.662 states/eV per atom
DFT formation energy: -0.759 eV per atom

Cell lengths 3.7783, 4.7606, 4.7606 Å; angles 90.00, 90.00, 90.00 degrees
Closest atoms and distances in Å follow each position.
Positions (direct):
As (0.0000, 0.5000, 0.0000)  4 Gd 3.04, 4 Mg 3.04, 4 As 3.37
As (0.0000, 0.0000, 0.5000)  4 Gd 3.04, 4 Mg 3.04, 4 As 3.37
Mg (0.5000, 0.0000, 0.0000)  8 As 3.04, 4 Gd 3.37
Gd (0.5000, 0.5000, 0.5000)  8 As 3.04, 4 Mg 3.37



# 6
Density functional theory data (GGA-PBE) for crystalline Th3SbC at its relaxed geometry.

Fermi-level density of states: 1.115 states/eV per atom
Energy relative to the elements, uncorrected: -9.5 kcal/mol of atoms

Cell lengths 5.0511, 5.0511, 5.0511 Å; angles 90.00, 90.00, 90.00 degrees
Closest atoms and distances in Å follow each position.
Positions (direct):
Th (0.0000, 0.0000, 0.5000)  2 C 2.53
Th (0.5000, 0.0000, 0.0000)  2 C 2.53
Th (0.0000, 0.5000, 0.0000)  2 C 2.53
Sb (0.5000, 0.5000, 0.5000)  12 Th 3.57
C (0.0000, 0.0000, 0.0000)  6 Th 2.53



# 7
Density functional theory data (GGA-PBE) for crystalline MgTlInPb2 at its relaxed geometry.

ΔE to the lowest computed polymorph: 0.0 kJ/mol of atoms
Fermi-level density of states: 0.460 states/eV per atom
DFT formation energy: 0.005 eV per atom

Cell lengths 5.2244, 5.2233, 10.7520 Å; angles 75.29, 90.00, 90.00 degrees
Closest atoms and distances in Å follow each position.
Positions (direct):
Pb (0.7500, 0.8381, 0.8167)  4 Mg 3.23-3.24, 2 In 3.41-3.47, 2 Pb 3.41
Pb (0.2500, 0.1619, 0.1833)  4 Mg 3.23-3.24, 2 In 3.41-3.47, 2 Pb 3.41
Pb (0.2500, 0.9548, 0.6053)  6 In 3.36-3.74, 4 Pb 3.41, 2 Tl 3.43
Pb (0.7500, 0.0452, 0.3947)  6 In 3.36-3.74, 4 Pb 3.41, 2 Tl 3.43
In (0.7500, 0.4433, 0.6012)  2 In 3.35, 8 Pb 3.36-3.74, 2 Tl 3.46
In (0.2500, 0.5567, 0.3988)  2 In 3.35, 8 Pb 3.36-3.74, 2 Tl 3.46
Tl (0.2500, 0.3434, 0.8189)  4 Mg 3.19-3.26, 2 Pb 3.43, 2 In 3.46
Tl (0.7500, 0.6566, 0.1811)  4 Mg 3.19-3.26, 2 Pb 3.43, 2 In 3.46
Mg (0.7500, 0.2430, 0.9996)  4 Tl 3.19-3.26, 4 Pb 3.23-3.24
Mg (0.2500, 0.7570, 0.0004)  4 Tl 3.19-3.26, 4 Pb 3.23-3.24



# 8
Density functional theory data (GGA-PBE) for crystalline LiGe2PO at its relaxed geometry.

Fermi-level density of states: 0.542 states/eV per atom
Energy relative to the elements, uncorrected: 16.9 kcal/mol of atoms

Cell lengths 4.5938, 3.9876, 4.5938 Å; angles 90.00, 90.00, 90.00 degrees
Closest atoms and distances in Å follow each position.
Positions (direct):
P (0.0000, 0.5000, 0.0000)  2 Li 1.99
Ge (0.0000, 0.0000, 0.5000)  2 Li 2.30
Ge (0.5000, 0.0000, 0.0000)  2 Li 2.30
Li (0.0000, 0.0000, 0.0000)  2 P 1.99
O (0.5000, 0.5000, 0.5000)  8 Ge 3.04, 4 P 3.25



# 9
Density functional theory data (GGA-PBE) for crystalline SrCeMgIn at its relaxed geometry.

Fermi-level density of states: 2.521 states/eV per atom
DFT formation energy: -0.149 eV per atom

Cell lengths 5.6284, 5.6284, 5.6284 Å; angles 60.00, 60.00, 60.00 degrees
Closest atoms and distances in Å follow each position.
Positions (direct):
Ce (0.7500, 0.7500, 0.7500)  4 In 3.45, 4 Mg 3.45
Sr (0.2500, 0.2500, 0.2500)  4 Mg 3.45, 4 In 3.45
In (0.5000, 0.5000, 0.5000)  4 Sr 3.45, 4 Ce 3.45
Mg (0.0000, 0.0000, 0.0000)  4 Ce 3.45, 4 Sr 3.45



# 10
Density functional theory data (GGA-PBE) for crystalline GdErInSn at its relaxed geometry.

Fermi-level density of states: 0.705 states/eV per atom
DFT formation energy: -0.511 eV per atom

Cell lengths 5.3362, 5.3362, 5.3362 Å; angles 60.00, 60.00, 60.00 degrees
Closest atoms and distances in Å follow each position.
Positions (direct):
Sn (0.2500, 0.2500, 0.2500)  4 Gd 3.27, 4 Er 3.27
Er (0.5000, 0.5000, 0.5000)  4 Sn 3.27, 4 In 3.27
Gd (0.0000, 0.0000, 0.0000)  4 In 3.27, 4 Sn 3.27
In (0.7500, 0.7500, 0.7500)  4 Gd 3.27, 4 Er 3.27



# 11
Density functional theory data (GGA-PBE) for crystalline In2AsCl at its relaxed geometry.

ΔE to the lowest computed polymorph: 20.8 kJ/mol of atoms
Fermi-level density of states: 0.410 states/eV per atom
Energy relative to the elements, uncorrected: -3.7 kcal/mol of atoms

Cell lengths 3.6419, 3.6419, 7.5709 Å; angles 90.00, 90.00, 95.28 degrees
Closest atoms and distances in Å follow each position.
Positions (direct):
As (0.5000, 0.5000, 0.2500)  8 In 2.99-3.19
In (0.0000, 0.0000, 0.4764)  4 As 2.99-3.19, 2 Cl 3.21
In (0.0000, 0.0000, 0.0236)  4 As 2.99-3.19, 2 Cl 3.21
Cl (0.5000, 0.5000, 0.7500)  8 In 3.21-3.40



# 12
Density functional theory data (GGA-PBE) for crystalline KInNi4 at its relaxed geometry.

Fermi-level density of states: 1.201 states/eV per atom
DFT formation energy: 0.307 eV per atom

Cell lengths 5.0718, 5.0718, 5.0718 Å; angles 60.00, 60.00, 60.00 degrees
Closest atoms and distances in Å follow each position.
Positions (direct):
In (0.7500, 0.7500, 0.7500)  12 Ni 2.97, 4 K 3.11
Ni (0.3762, 0.8714, 0.3762)  6 Ni 2.51-2.56
Ni (0.3762, 0.3762, 0.3762)  6 Ni 2.51-2.56
Ni (0.8714, 0.3762, 0.3762)  6 Ni 2.51-2.56
Ni (0.3762, 0.3762, 0.8714)  6 Ni 2.51-2.56
K (0.0000, 0.0000, 0.0000)  12 Ni 2.98, 4 In 3.11



> Look up the Fermi-level density of states of the seventh one.

0.460 states/eV per atom